Computed, not measured: a geometry-optimized Rb3Er2SbTe6 structure at the GGA-PBE level of DFT.

For the electronic total energy, the calculation gives -4.001 eV per atom. The space group is C2/m (12). For the formation energy from raw total energies, the calculation gives -1.084 eV/atom.

abc: 7.8440 7.8440 8.9127
angles: 98.43 98.43 120.00
Element x y z (fractional)
Rb: 0.0000 0.0000 0.0000
Rb: 0.3339 0.6661 0.0000
Rb: 0.6661 0.3339 0.0000
Er: 0.1667 0.8333 0.5000
Er: 0.8333 0.1667 0.5000
Sb: 0.5000 0.5000 0.5000
Te: 0.0999 0.4345 0.3036
Te: 0.2308 0.2308 0.6963
Te: 0.4345 0.0999 0.3036
Te: 0.5655 0.9001 0.6964
Te: 0.7692 0.7692 0.3037
Te: 0.9001 0.5655 0.6964

***

Computed, not measured: a geometry-optimized NaPmZnAg structure at the GGA-PBE level of DFT.

For the electronic total energy, the calculation gives -2.650 eV per atom. The space group is F-43m (216). The formation energy comes out at -0.10 eV per atom.

abc: 5.0980 5.0980 5.0980
angles: 60.00 60.00 60.00
Element x y z (fractional)
Na: 0.0000 0.0000 0.0000
Pm: 0.5000 0.5000 0.5000
Zn: 0.2500 0.2500 0.2500
Ag: 0.7500 0.7500 0.7500

***

Computed, not measured: a geometry-optimized Th2MgSi4Pd3 structure at the GGA-PBE level of DFT.

For the electronic total energy, the calculation gives -6.167 eV per atom. The space group is P-4m2 (115). For the formation energy from raw total energies, the calculation gives -0.797 eV/atom.

abc: 4.2451 4.2451 10.3474
angles: 90.00 90.00 90.00
Element x y z (fractional)
Th: 0.0000 0.5000 0.2393
Th: 0.5000 0.0000 0.7607
Mg: 0.0000 0.0000 0.5000
Si: 0.0000 0.0000 0.0000
Si: 0.0000 0.5000 0.6472
Si: 0.5000 0.0000 0.3528
Si: 0.5000 0.5000 0.0000
Pd: 0.0000 0.5000 0.8835
Pd: 0.5000 0.0000 0.1165
Pd: 0.5000 0.5000 0.5000

***

Computed, not measured: a geometry-optimized MgSeF2 structure at the GGA-PBE level of DFT.

Its energy above the most stable polymorph in this dataset is 0.0 meV/atom. For the electronic total energy, the calculation gives -4.582 eV per atom. The space group is R-3m (166). For the formation energy from raw total energies, the calculation gives -2.376 eV/atom.

abc: 9.8333 9.8333 9.8333
angles: 17.45 17.45 17.45
Element x y z (fractional)
Mg: 0.0000 0.0000 0.0000
Se: 0.5000 0.5000 0.5000
F: 0.3674 0.3674 0.3674
F: 0.6326 0.6326 0.6326

***

Computed, not measured: a geometry-optimized In2Sb2Te7 structure at the GGA-PBE level of DFT.

For the electronic total energy, the calculation gives -3.250 eV per atom. The space group is C2/m (12). For the formation energy from raw total energies, the calculation gives -0.003 eV/atom.

abc: 7.7739 7.7739 6.9614
angles: 94.70 94.70 97.55
Element x y z (fractional)
In: 0.2361 0.2361 0.0955
In: 0.7639 0.7639 0.9045
Sb: 0.1804 0.8196 0.5000
Sb: 0.8196 0.1804 0.5000
Te: 0.0509 0.5956 0.8196
Te: 0.1760 0.1760 0.6513
Te: 0.4044 0.9491 0.1804
Te: 0.5000 0.5000 0.0000
Te: 0.5956 0.0509 0.8196
Te: 0.8240 0.8240 0.3487
Te: 0.9491 0.4044 0.1804

***

Computed, not measured: a geometry-optimized NaPbSCl2 structure at the GGA-PBE level of DFT.

Its energy above the most stable polymorph in this dataset is 258.2 meV/atom. For the electronic total energy, the calculation gives -3.076 eV per atom. The space group is P4/mmm (123). For the formation energy from raw total energies, the calculation gives -0.507 eV/atom.

abc: 4.9533 4.9533 5.3038
angles: 90.00 90.00 90.00
Element x y z (fractional)
Na: 0.0000 0.0000 0.0000
Pb: 0.5000 0.5000 0.5000
S: 0.0000 0.0000 0.5000
Cl: 0.0000 0.5000 0.0000
Cl: 0.5000 0.0000 0.0000

***

Computed, not measured: a geometry-optimized Hf8Ge2Sb structure at the GGA-PBE level of DFT.

For the electronic total energy, the calculation gives -8.698 eV per atom. The space group is C2/m (12). For the formation energy from raw total energies, the calculation gives -0.245 eV/atom.

abc: 7.2801 7.2801 5.2849
angles: 100.36 100.36 115.79
Element x y z (fractional)
Hf: 0.0838 0.3215 0.6162
Hf: 0.2416 0.7584 0.0000
Hf: 0.3215 0.0838 0.6162
Hf: 0.4085 0.4085 0.1938
Hf: 0.5915 0.5915 0.8062
Hf: 0.6785 0.9162 0.3838
Hf: 0.7584 0.2416 0.0000
Hf: 0.9162 0.6785 0.3838
Ge: 0.3066 0.6934 0.5000
Ge: 0.6934 0.3066 0.5000
Sb: 0.0000 0.0000 0.0000

***

Computed, not measured: a geometry-optimized Ag2PPt structure at the GGA-PBE level of DFT.

For the electronic total energy, the calculation gives -4.095 eV per atom. The space group is I-4m2 (119). The formation energy comes out at 0.19 eV per atom.

abc: 4.8083 4.8083 4.8083
angles: 128.83 128.83 75.28
Element x y z (fractional)
Ag: 0.0000 0.0000 0.0000
Ag: 0.7500 0.2500 0.5000
P: 0.2500 0.7500 0.5000
Pt: 0.5000 0.5000 0.0000

***

Computed, not measured: a geometry-optimized ReBr structure at the GGA-PBE level of DFT.

Its energy above the most stable polymorph in this dataset is 1099.8 meV/atom. For the electronic total energy, the calculation gives -5.729 eV per atom. The space group is P6_3mc (186). For the formation energy from raw total energies, the calculation gives 1.331 eV/atom.

abc: 3.0797 3.0797 8.6831
angles: 90.00 90.00 120.00
Element x y z (fractional)
Re: 0.3333 0.6667 0.0000
Re: 0.6667 0.3333 0.5000
Br: 0.3333 0.6667 0.7212
Br: 0.6667 0.3333 0.2212

***

Computed, not measured: a geometry-optimized LaPm2Ru structure at the GGA-PBE level of DFT.

Its energy above the most stable polymorph in this dataset is 22.2 meV/atom. For the electronic total energy, the calculation gives -6.138 eV per atom. The space group is Cmcm (63). The formation energy comes out at -0.21 eV per atom.

abc: 6.5109 6.5109 9.6873
angles: 90.00 90.00 144.53
Element x y z (fractional)
La: 0.0845 0.9155 0.7500
La: 0.9155 0.0845 0.2500
Pm: 0.3553 0.6447 0.5723
Pm: 0.3553 0.6447 0.9277
Pm: 0.6447 0.3553 0.0723
Pm: 0.6447 0.3553 0.4277
Ru: 0.2581 0.7419 0.2500
Ru: 0.7419 0.2581 0.7500

***

Computed, not measured: a geometry-optimized Cs2Cd3In structure at the GGA-PBE level of DFT.

Its energy above the most stable polymorph in this dataset is 0.0 meV/atom. For the electronic total energy, the calculation gives -1.273 eV per atom. The space group is Pmma (51). The formation energy comes out at -0.07 eV per atom.

abc: 6.3372 7.4082 9.8323
angles: 90.00 90.00 90.00
Element x y z (fractional)
Cs: 0.2500 0.0000 0.1150
Cs: 0.2500 0.5000 0.3480
Cs: 0.7500 0.0000 0.8850
Cs: 0.7500 0.5000 0.6520
Cd: 0.0000 0.0000 0.5000
Cd: 0.2500 0.2105 0.7135
Cd: 0.2500 0.7895 0.7135
Cd: 0.5000 0.0000 0.5000
Cd: 0.7500 0.2105 0.2865
Cd: 0.7500 0.7895 0.2865
In: 0.2500 0.5000 0.9277
In: 0.7500 0.5000 0.0723

***

Computed, not measured: a geometry-optimized Pr2SmIn3Hg6 structure at the GGA-PBE level of DFT.

For the electronic total energy, the calculation gives -2.125 eV per atom. The space group is P4/mmm (123). The formation energy comes out at -0.10 eV per atom.

abc: 4.3228 4.3228 20.4197
angles: 90.00 90.00 90.00
Element x y z (fractional)
Pr: 0.0000 0.0000 0.2175
Pr: 0.0000 0.0000 0.7825
Sm: 0.0000 0.0000 0.5000
In: 0.5000 0.5000 0.0000
In: 0.5000 0.5000 0.2802
In: 0.5000 0.5000 0.7198
Hg: 0.0000 0.5000 0.3858
Hg: 0.0000 0.5000 0.6142
Hg: 0.5000 0.0000 0.3858
Hg: 0.5000 0.0000 0.6142
Hg: 0.5000 0.5000 0.1367
Hg: 0.5000 0.5000 0.8633

***

- Which value of electronic total energy does entry 10 give?
  -6.138 eV per atom

***

- Which of these has the highest electronic total energy?
  Cs2Cd3In

***

- Which of these has the highest electronic total energy?
  Cs2Cd3In